No. 1
# Ge5Pb3Se12

A relaxed structure of Ge5Pb3Se12 (GGA-PBE, the Alexandria database).

Cell: 14.191 14.191 14.191 Å, 109.47 109.47 109.47°
Sites, in units of the cell vectors:
Ge 0.000 0.000 0.000
Ge 0.000 0.000 0.500
Ge 0.000 0.500 0.000
Ge 0.000 0.500 0.500
Ge 0.125 0.750 0.875
Ge 0.125 0.875 0.250
Ge 0.250 0.125 0.875
Ge 0.250 0.625 0.375
Ge 0.375 0.250 0.625
Ge 0.375 0.625 0.750
Ge 0.500 0.000 0.000
Ge 0.500 0.000 0.500
Ge 0.500 0.500 0.000
Ge 0.500 0.500 0.500
Ge 0.625 0.375 0.250
Ge 0.625 0.750 0.375
Ge 0.750 0.375 0.625
Ge 0.750 0.875 0.125
Ge 0.875 0.125 0.750
Ge 0.875 0.250 0.125
Pb 0.125 0.250 0.375
Pb 0.125 0.375 0.750
Pb 0.250 0.375 0.125
Pb 0.250 0.875 0.625
Pb 0.375 0.125 0.250
Pb 0.375 0.750 0.125
Pb 0.625 0.250 0.875
Pb 0.625 0.875 0.750
Pb 0.750 0.125 0.375
Pb 0.750 0.625 0.875
Pb 0.875 0.625 0.250
Pb 0.875 0.750 0.625
Se 0.028 0.210 0.121
Se 0.028 0.318 0.907
Se 0.089 0.710 0.682
Se 0.089 0.879 0.407
Se 0.093 0.621 0.411
Se 0.093 0.972 0.682
Se 0.121 0.028 0.210
Se 0.121 0.593 0.911
Se 0.182 0.210 0.589
Se 0.182 0.472 0.593
Se 0.210 0.121 0.028
Se 0.210 0.589 0.182
Se 0.290 0.318 0.911
Se 0.290 0.472 0.379
Se 0.318 0.907 0.028
Se 0.318 0.911 0.290
Se 0.379 0.290 0.472
Se 0.379 0.589 0.907
Se 0.407 0.089 0.879
Se 0.407 0.818 0.528
Se 0.411 0.093 0.621
Se 0.411 0.818 0.790
Se 0.472 0.379 0.290
Se 0.472 0.593 0.182
Se 0.528 0.407 0.818
Se 0.528 0.621 0.710
Se 0.589 0.182 0.210
Se 0.589 0.907 0.379
Se 0.593 0.182 0.472
Se 0.593 0.911 0.121
Se 0.621 0.411 0.093
Se 0.621 0.710 0.528
Se 0.682 0.089 0.710
Se 0.682 0.093 0.972
Se 0.710 0.528 0.621
Se 0.710 0.682 0.089
Se 0.790 0.411 0.818
Se 0.790 0.879 0.972
Se 0.818 0.528 0.407
Se 0.818 0.790 0.411
Se 0.879 0.407 0.089
Se 0.879 0.972 0.790
Se 0.907 0.028 0.318
Se 0.907 0.379 0.589
Se 0.911 0.121 0.593
Se 0.911 0.290 0.318
Se 0.972 0.682 0.093
Se 0.972 0.790 0.879

Raw formation energy, meV per atom: -252
DFT total energy, eV per atom: -4.053
Space group: No. 230

---

No. 2
# Ge2PbSe2

A relaxed structure of Ge2PbSe2 (GGA-PBE, the Alexandria database).

Cell: 8.437 8.437 3.720 Å, 90.00 90.00 90.00°
Sites, in units of the cell vectors:
Ge 0.195 0.305 0.000
Ge 0.305 0.805 0.000
Ge 0.695 0.195 0.000
Ge 0.805 0.695 0.000
Pb 0.000 0.000 0.500
Pb 0.500 0.500 0.500
Se 0.157 0.657 0.500
Se 0.343 0.157 0.500
Se 0.657 0.843 0.500
Se 0.843 0.343 0.500

Raw formation energy, meV per atom: -22
DFT total energy, eV per atom: -4.004
Space group: No. 127

---

No. 3
# GePbSe3

A relaxed structure of GePbSe3 (GGA-PBE, the Alexandria database).

Cell: 5.405 5.405 5.405 Å, 90.00 90.00 90.00°
Sites, in units of the cell vectors:
Ge 0.000 0.000 0.000
Pb 0.500 0.500 0.500
Se 0.000 0.500 0.500
Se 0.500 0.000 0.500
Se 0.500 0.500 0.000

Raw formation energy, meV per atom: 617
DFT total energy, eV per atom: -3.139
Space group: No. 221

---

No. 4
# GePbSe3

A relaxed structure of GePbSe3 (GGA-PBE, the Alexandria database).

Cell: 5.066 5.066 5.066 Å, 90.00 90.00 90.00°
Sites, in units of the cell vectors:
Ge 0.000 0.000 0.000
Pb 0.500 0.500 0.500
Se 0.000 0.000 0.500
Se 0.000 0.500 0.000
Se 0.500 0.000 0.000

Raw formation energy, meV per atom: 16
DFT total energy, eV per atom: -3.740
Space group: No. 221